RbPrSe2O8 at its PBEsol-relaxed geometry. Source: the Alexandria database, functional meta-GGA SCAN.

Lattice parameters (Å, degrees): 7.3996 9.1068 11.1490 91.18 90.00 90.00
Last column: nearest neighbours and their distance in Å.
Atoms (fractional coordinates):
Rb 0.8551 0.5669 0.3422  7 O 2.86-3.11
O 0.5023 0.0997 0.8092  1 Se 1.69
Se 0.3361 0.1819 0.8904  4 O 1.63-1.70
O 0.3191 0.7640 0.8104  1 Se 1.67
Se 0.8392 0.2708 0.0871  4 O 1.63-1.69
O 0.0282 0.5961 0.8683  1 Se 1.63
O 0.6542 0.6390 0.1055  1 Se 1.63
O 0.3458 0.3610 0.8945  1 Se 1.63
O 0.0023 0.9003 0.6908  1 Se 1.69
O 0.0441 0.8840 0.9478  1 Se 1.69
Pr 0.1669 0.9467 0.1521  9 O 2.44-2.66
O 0.5282 0.4039 0.6317  1 Se 1.63
O 0.3409 0.1262 0.3040  1 Se 1.70
O 0.4559 0.8840 0.4478  1 Se 1.69
Pr 0.8331 0.0533 0.8479  9 O 2.44-2.66
O 0.1542 0.3610 0.3945  1 Se 1.63
Se 0.6639 0.8181 0.1096  4 O 1.63-1.70
O 0.8409 0.8738 0.1960  1 Se 1.70
O 0.8191 0.2360 0.6896  1 Se 1.67
O 0.4718 0.5961 0.3683  1 Se 1.63
O 0.9559 0.1160 0.0522  1 Se 1.69
O 0.6632 0.8854 0.9729  1 Se 1.66
Rb 0.1449 0.4331 0.6578  7 O 2.86-3.11
Se 0.3392 0.7292 0.4129  4 O 1.63-1.69
Rb 0.3551 0.4331 0.1578  7 O 2.86-3.11
O 0.7389 0.2928 0.9542  1 Se 1.67
Se 0.1639 0.1819 0.3904  4 O 1.63-1.70
O 0.7611 0.2928 0.4542  1 Se 1.67
O 0.4977 0.9003 0.1908  1 Se 1.69
O 0.3368 0.1146 0.0271  1 Se 1.66
Se 0.6608 0.2708 0.5871  4 O 1.63-1.69
O 0.9718 0.4039 0.1317  1 Se 1.63
Se 0.1608 0.7292 0.9129  4 O 1.63-1.69
O 0.1591 0.1262 0.8040  1 Se 1.70
O 0.1809 0.7640 0.3104  1 Se 1.67
O 0.2389 0.7072 0.5458  1 Se 1.67
O 0.9977 0.0997 0.3092  1 Se 1.69
O 0.5441 0.1160 0.5522  1 Se 1.69
Pr 0.6669 0.0533 0.3479  9 O 2.44-2.66
Rb 0.6449 0.5669 0.8422  7 O 2.86-3.11
O 0.2611 0.7072 0.0458  1 Se 1.67
O 0.1632 0.1146 0.5271  1 Se 1.66
Pr 0.3331 0.9467 0.6521  9 O 2.44-2.66
O 0.8458 0.6390 0.6055  1 Se 1.63
Se 0.8361 0.8181 0.6096  4 O 1.63-1.70
O 0.6809 0.2360 0.1896  1 Se 1.67
O 0.8368 0.8854 0.4729  1 Se 1.66
O 0.6591 0.8738 0.6960  1 Se 1.70

Output
Formation energy (no corrections) ... -1.74 eV/atom
Energy ... -14.58 eV per atom
DOS at the Fermi energy ... 0.000 states/eV per cell